1.
First-principles (PBE-GGA) data for K2CuPt after structural relaxation, as listed in Alexandria via LeMat-Bulk.

Summary:
DFT formation energy, meV per atom: 397
DOS(E_F), states/eV/f.u.: 1.47
Offset from the most stable computed form, meV per atom: 326
DFT total energy, eV/atom: -2.686

abc: 5.8006 5.8006 5.8006
angles: 135.30 135.16 65.17
Last column: nearest neighbours and their distance in Å.
Fractional positions:
K (0.2502, 0.2502, 0.0000)  4 K 3.12, 4 Cu 3.29-3.30, 4 Pt 3.29
K (0.7498, 0.7498, 0.0000)  4 K 3.12, 4 Cu 3.29-3.30, 4 Pt 3.29
Cu (0.5000, 0.0000, 0.5000)  4 Pt 3.12, 8 K 3.29-3.30
Pt (0.0000, 0.5000, 0.5000)  4 Cu 3.12, 8 K 3.29

2.
First-principles (PBE-GGA) data for Zr6TcIr after structural relaxation, as listed in Alexandria via LeMat-Bulk.

Summary:
DFT formation energy, meV per atom: -325
DOS(E_F), states/eV/f.u.: 8.82
DFT total energy, eV/atom: -9.140

abc: 8.1759 8.1759 8.1759
angles: 146.80 146.80 47.67
Last column: nearest neighbours and their distance in Å.
Fractional positions:
Zr (0.1092, 0.6092, 0.5000)  2 Tc 2.85, 2 Ir 2.85, 4 Zr 3.12-3.17
Zr (0.2473, 0.2473, 0.0000)  12 Zr 3.12-3.30
Zr (0.3908, 0.8908, 0.5000)  2 Ir 2.85, 2 Tc 2.85, 4 Zr 3.12-3.17
Zr (0.6092, 0.1092, 0.5000)  2 Tc 2.85, 2 Ir 2.85, 4 Zr 3.12-3.17
Zr (0.7527, 0.7527, 0.0000)  12 Zr 3.12-3.30
Zr (0.8908, 0.3908, 0.5000)  2 Ir 2.85, 2 Tc 2.85, 4 Zr 3.12-3.17
Tc (0.0000, 0.0000, 0.0000)  8 Zr 2.85
Ir (0.5000, 0.5000, 0.0000)  8 Zr 2.85

3.
First-principles (PBE-GGA) data for DySi2Pd4 after structural relaxation, as listed in Alexandria via LeMat-Bulk.

Summary:
DOS(E_F), states/eV/f.u.: 3.67
Energy relative to the elements, uncorrected, eV per atom: -0.836
Offset from the most stable computed form, meV per atom: 0
DFT total energy, eV/atom: -6.010

abc: 7.9064 7.9064 3.7110
angles: 90.00 90.00 90.00
Last column: nearest neighbours and their distance in Å.
Fractional positions:
Dy (0.0000, 0.0000, 0.0000)  6 Si 3.06-3.14, 8 Pd 3.19
Dy (0.5000, 0.5000, 0.5000)  6 Si 3.06-3.14, 8 Pd 3.19
Si (0.2260, 0.2260, 0.5000)  6 Pd 2.47-2.48
Si (0.2740, 0.7260, 0.0000)  6 Pd 2.47-2.48
Si (0.7260, 0.2740, 0.0000)  6 Pd 2.47-2.48
Si (0.7740, 0.7740, 0.5000)  6 Pd 2.47-2.48
Pd (0.0734, 0.6806, 0.5000)  3 Si 2.47-2.48, 1 Pd 2.75
Pd (0.1806, 0.4266, 0.0000)  3 Si 2.47-2.48, 1 Pd 2.75
Pd (0.3194, 0.9266, 0.5000)  3 Si 2.47-2.48, 1 Pd 2.75
Pd (0.4266, 0.1806, 0.0000)  3 Si 2.47-2.48, 1 Pd 2.75
Pd (0.5734, 0.8194, 0.0000)  3 Si 2.47-2.48, 1 Pd 2.75
Pd (0.6806, 0.0734, 0.5000)  3 Si 2.47-2.48, 1 Pd 2.75
Pd (0.8194, 0.5734, 0.0000)  3 Si 2.47-2.48, 1 Pd 2.75
Pd (0.9266, 0.3194, 0.5000)  3 Si 2.47-2.48, 1 Pd 2.75

4.
First-principles (PBE-GGA) data for PuCu2S4 after structural relaxation, as listed in Alexandria via LeMat-Bulk.

Summary:
DOS(E_F), states/eV/f.u.: 7.71
Energy relative to the elements, uncorrected, eV per atom: -0.628
DFT total energy, eV/atom: -6.204

abc: 7.1883 7.1883 7.1883
angles: 121.00 113.90 94.58
Last column: nearest neighbours and their distance in Å.
Fractional positions:
Pu (0.0000, 0.0000, 0.0000)  6 S 2.67-2.68
Pu (0.5000, 0.0000, 0.5000)  6 S 2.67-2.68
Cu (0.0000, 0.0000, 0.5000)  4 S 2.31
Cu (0.0000, 0.5000, 0.0000)  4 S 2.31
Cu (0.4844, 0.7344, 0.7500)  6 S 2.45-2.55
Cu (0.5156, 0.2656, 0.2500)  6 S 2.45-2.55
S (0.1677, 0.7301, 0.4376)  3 Cu 2.31-2.45
S (0.2075, 0.2699, 0.9376)  3 Cu 2.31-2.45
S (0.3196, 0.3072, 0.4876)  2 Cu 2.46-2.55, 2 Pu 2.67
S (0.3196, 0.8320, 0.0124)  2 Cu 2.46-2.55, 2 Pu 2.67
S (0.6804, 0.1680, 0.9876)  2 Cu 2.46-2.55, 2 Pu 2.67
S (0.6804, 0.6928, 0.5124)  2 Cu 2.46-2.55, 2 Pu 2.67
S (0.7925, 0.7301, 0.0624)  3 Cu 2.31-2.45
S (0.8323, 0.2699, 0.5624)  3 Cu 2.31-2.45

5.
First-principles (PBE-GGA) data for K2RbMnCl after structural relaxation, as listed in Alexandria via LeMat-Bulk.

Summary:
DOS(E_F), states/eV/f.u.: 5.85
Energy relative to the elements, uncorrected, eV per atom: 0.064
DFT total energy, eV/atom: -2.771

abc: 7.5886 7.5886 4.8317
angles: 90.00 90.00 90.00
Last column: nearest neighbours and their distance in Å.
Fractional positions:
K (0.0000, 0.5000, 0.0000)  2 Mn 3.79
K (0.5000, 0.0000, 0.0000)  2 Mn 3.79
Rb (0.0000, 0.0000, 0.5000)  8 K 4.50, 2 Rb 4.83
Mn (0.5000, 0.5000, 0.0000)  2 Cl 2.42
Cl (0.5000, 0.5000, 0.5000)  2 Mn 2.42

6.
First-principles (PBE-GGA) data for Ac4NdHg5 after structural relaxation, as listed in Alexandria via LeMat-Bulk.

Summary:
DFT formation energy, meV per atom: -469
DOS(E_F), states/eV/f.u.: 11.70
DFT total energy, eV/atom: -2.740

abc: 4.0058 4.0058 20.0264
angles: 90.00 90.00 90.00
Last column: nearest neighbours and their distance in Å.
Fractional positions:
Ac (0.0000, 0.0000, 0.1024)  8 Hg 3.49-3.50
Ac (0.0000, 0.0000, 0.3072)  8 Hg 3.50-3.52, 1 Nd 3.86
Ac (0.0000, 0.0000, 0.6928)  8 Hg 3.50-3.52, 1 Nd 3.86
Ac (0.0000, 0.0000, 0.8976)  8 Hg 3.49-3.50
Nd (0.0000, 0.0000, 0.5000)  8 Hg 3.34
Hg (0.5000, 0.5000, 0.0000)  8 Ac 3.50
Hg (0.5000, 0.5000, 0.2042)  8 Ac 3.49-3.50
Hg (0.5000, 0.5000, 0.4113)  4 Nd 3.34, 4 Ac 3.52, 1 Hg 3.55
Hg (0.5000, 0.5000, 0.5887)  4 Nd 3.34, 4 Ac 3.52, 1 Hg 3.55
Hg (0.5000, 0.5000, 0.7958)  8 Ac 3.49-3.50

7.
First-principles (PBE-GGA) data for Tm2CuPd4 after structural relaxation, as listed in Alexandria via LeMat-Bulk.

Summary:
DFT formation energy, meV per atom: -697
DOS(E_F), states/eV/f.u.: 2.69
Offset from the most stable computed form, meV per atom: 0
DFT total energy, eV/atom: -5.527

abc: 5.4889 5.4716 8.8817
angles: 90.00 105.50 90.00
Last column: nearest neighbours and their distance in Å.
Fractional positions:
Tm (0.1345, 0.2500, 0.4070)  9 Pd 2.88-3.14
Tm (0.3033, 0.7500, 0.0013)  8 Pd 2.79-3.01, 1 Cu 2.85
Tm (0.6967, 0.2500, 0.9987)  8 Pd 2.79-3.01, 1 Cu 2.85
Tm (0.8655, 0.7500, 0.5930)  9 Pd 2.88-3.14
Cu (0.0387, 0.2500, 0.8076)  4 Pd 2.52-2.56
Cu (0.9613, 0.7500, 0.1924)  4 Pd 2.52-2.56
Pd (0.2237, 0.2500, 0.1017)  1 Cu 2.54, 2 Pd 2.76, 1 Tm 2.79
Pd (0.3174, 0.7500, 0.4391)  1 Cu 2.52, 2 Pd 2.76
Pd (0.3662, 0.5008, 0.7163)  1 Cu 2.56, 5 Pd 2.73-2.84
Pd (0.3662, 0.9992, 0.7163)  1 Cu 2.56, 5 Pd 2.73-2.84
Pd (0.6338, 0.0008, 0.2837)  1 Cu 2.56, 5 Pd 2.73-2.84
Pd (0.6338, 0.4992, 0.2837)  1 Cu 2.56, 5 Pd 2.73-2.84
Pd (0.6826, 0.2500, 0.5609)  1 Cu 2.52, 2 Pd 2.76
Pd (0.7763, 0.7500, 0.8983)  1 Cu 2.54, 2 Pd 2.76, 1 Tm 2.79

8.
First-principles (PBE-GGA) data for NaBeAs2Br after structural relaxation, as listed in Alexandria via LeMat-Bulk.

Summary:
DOS(E_F), states/eV/f.u.: 1.72
Energy relative to the elements, uncorrected, eV per atom: -0.121
Offset from the most stable computed form, meV per atom: 0
DFT total energy, eV/atom: -3.324

abc: 4.2584 4.2584 8.2413
angles: 90.00 90.00 90.00
Last column: nearest neighbours and their distance in Å.
Fractional positions:
Na (0.0000, 0.0000, 0.0000)  4 Br 3.01
Be (0.5000, 0.5000, 0.5000)  4 As 2.13
As (0.0000, 0.5000, 0.5000)  2 Be 2.13
As (0.5000, 0.0000, 0.5000)  2 Be 2.13
Br (0.5000, 0.5000, 0.0000)  4 Na 3.01